Entry from the Alexandria database: Er5Cd6 after structural relaxation (PBE).

Structure (CIF):
```
data_Er5Cd6
_symmetry_space_group_name_H-M 'I m m m'
_symmetry_Int_Tables_number 71
_symmetry_space_group_name_Hall '-I 2 2'
_cell_length_a 5.2385
_cell_length_b 7.2436
_cell_length_c 15.3701
_cell_angle_alpha 90.00
_cell_angle_beta 90.00
_cell_angle_gamma 90.00
loop_
_atom_site_label
_atom_site_type_symbol
_atom_site_fract_x
_atom_site_fract_y
_atom_site_fract_z
Er1 Er 0.0000 0.0000 0.0000
Er2 Er 0.0000 0.0000 0.3182
Er3 Er 0.0000 0.5000 0.3391
Cd1 Cd 0.0000 0.2171 0.5000
Cd2 Cd 0.0000 0.2793 0.1525
```

Values from the calculation:
The formation enthalpy at 0 K is -0.206 eV per atom. As for the total energy: -2.7790 eV/atom. The calculation puts the density of states at the Fermi level at 19.67 states/eV/cell.